First-principles (PBE) data for a relaxed structure of MnReTeN2, as listed in the Alexandria database.

```
data_MnReTeN2
_cell_length_a 3.876
_cell_length_b 3.876
_cell_length_c 5.781
_cell_angle_alpha 90.00
_cell_angle_beta 90.00
_cell_angle_gamma 90.00
_symmetry_space_group_name_H-M 'P 1'
_symmetry_Int_Tables_number 1
loop_
_symmetry_equiv_pos_as_xyz
'x,y,z'
loop_
_atom_site_label
_atom_site_type_symbol
_atom_site_fract_x
_atom_site_fract_y
_atom_site_fract_z
Re1 Re 0.000 0.000 0.000
Te1 Te 0.000 0.000 0.500
Mn1 Mn 0.500 0.500 0.500
N1 N 0.000 0.500 0.000
N2 N 0.500 0.000 0.000
```

Properties
Calculated density = 7585 kg/m3
Formation energy from raw total energies = 0.52 eV/atom
Distance to the lowest polymorph of the same formula = 0.000 eV/atom

First-principles (PBE) data for a relaxed structure of Th2AlC2, as listed in the Alexandria database.

```
data_Th2AlC2
_cell_length_a 3.812
_cell_length_b 3.812
_cell_length_c 6.966
_cell_angle_alpha 105.88
_cell_angle_beta 105.88
_cell_angle_gamma 90.00
_symmetry_space_group_name_H-M 'P 1'
_symmetry_Int_Tables_number 1
loop_
_symmetry_equiv_pos_as_xyz
'x,y,z'
loop_
_atom_site_label
_atom_site_type_symbol
_atom_site_fract_x
_atom_site_fract_y
_atom_site_fract_z
Th1 Th 0.650 0.650 0.300
Th2 Th 0.350 0.350 0.700
Al1 Al 0.000 0.000 0.000
C1 C 0.840 0.840 0.680
C2 C 0.160 0.160 0.320
```

Properties
ΔE_f = -0.364 eV/atom
Calculated density = 9163 kg/m3

First-principles (PBE) data for a relaxed structure of Dy2BeZn12Cu3, as listed in the Alexandria database.

```
data_Dy2BeZn12Cu3
_cell_length_a 11.412
_cell_length_b 11.412
_cell_length_c 11.412
_cell_angle_alpha 29.00
_cell_angle_beta 29.00
_cell_angle_gamma 29.00
_symmetry_space_group_name_H-M 'P 1'
_symmetry_Int_Tables_number 1
loop_
_symmetry_equiv_pos_as_xyz
'x,y,z'
loop_
_atom_site_label
_atom_site_type_symbol
_atom_site_fract_x
_atom_site_fract_y
_atom_site_fract_z
Dy1 Dy 0.640 0.640 0.640
Dy2 Dy 0.360 0.360 0.360
Be1 Be 0.000 0.000 0.000
Zn1 Zn 0.402 0.402 0.858
Zn2 Zn 0.889 0.889 0.384
Zn3 Zn 0.384 0.889 0.889
Zn4 Zn 0.858 0.402 0.402
Zn5 Zn 0.889 0.384 0.889
Zn6 Zn 0.402 0.858 0.402
Zn7 Zn 0.598 0.598 0.142
Zn8 Zn 0.111 0.111 0.616
Zn9 Zn 0.616 0.111 0.111
Zn10 Zn 0.142 0.598 0.598
Zn11 Zn 0.111 0.616 0.111
Zn12 Zn 0.598 0.142 0.598
Cu1 Cu 0.500 0.000 0.000
Cu2 Cu 0.000 0.500 0.000
Cu3 Cu 0.000 0.000 0.500
```

Properties
ΔE_f = 0.016 eV/atom
Calculated density = 7038 kg/m3

First-principles (PBE) data for a relaxed structure of SrAlTc2, as listed in the Alexandria database.

```
data_SrAlTc2
_cell_length_a 3.415
_cell_length_b 3.415
_cell_length_c 6.915
_cell_angle_alpha 90.00
_cell_angle_beta 90.00
_cell_angle_gamma 90.00
_symmetry_space_group_name_H-M 'P 1'
_symmetry_Int_Tables_number 1
loop_
_symmetry_equiv_pos_as_xyz
'x,y,z'
loop_
_atom_site_label
_atom_site_type_symbol
_atom_site_fract_x
_atom_site_fract_y
_atom_site_fract_z
Sr1 Sr 0.500 0.500 0.750
Tc1 Tc 0.000 0.000 0.086
Tc2 Tc 0.000 0.000 0.414
Al1 Al 0.500 0.500 0.250
```

Properties
ΔE_f = 0.248 eV/atom
Calculated density = 6394 kg/m3

First-principles (PBE) data for a relaxed structure of ScVS2Cl, as listed in the Alexandria database.

```
data_ScVS2Cl
_cell_length_a 4.964
_cell_length_b 4.964
_cell_length_c 4.754
_cell_angle_alpha 90.00
_cell_angle_beta 90.00
_cell_angle_gamma 90.00
_symmetry_space_group_name_H-M 'P 1'
_symmetry_Int_Tables_number 1
loop_
_symmetry_equiv_pos_as_xyz
'x,y,z'
loop_
_atom_site_label
_atom_site_type_symbol
_atom_site_fract_x
_atom_site_fract_y
_atom_site_fract_z
Sc1 Sc 0.000 0.000 0.000
S1 S 0.000 0.500 0.000
S2 S 0.500 0.000 0.000
Cl1 Cl 0.000 0.000 0.500
V1 V 0.500 0.500 0.500
```

Properties
Calculated density = 2771 kg/m3
Formation energy from raw total energies = -0.54 eV/atom
Distance to the lowest polymorph of the same formula = 0.143 eV/atom

First-principles (PBE) data for a relaxed structure of Pm2InSe4, as listed in the Alexandria database.

```
data_Pm2InSe4
_cell_length_a 4.224
_cell_length_b 7.473
_cell_length_c 8.176
_cell_angle_alpha 119.14
_cell_angle_beta 104.97
_cell_angle_gamma 90.00
_symmetry_space_group_name_H-M 'P 1'
_symmetry_Int_Tables_number 1
loop_
_symmetry_equiv_pos_as_xyz
'x,y,z'
loop_
_atom_site_label
_atom_site_type_symbol
_atom_site_fract_x
_atom_site_fract_y
_atom_site_fract_z
Pm1 Pm 0.729 0.739 0.457
Pm2 Pm 0.271 0.261 0.543
In1 In 0.000 0.000 0.000
Se1 Se 0.876 0.192 0.752
Se2 Se 0.124 0.808 0.248
Se3 Se 0.640 0.285 0.280
Se4 Se 0.360 0.715 0.720
```

Properties
Calculated density = 5557 kg/m3
Formation energy from raw total energies = -1.38 eV/atom

First-principles (PBE) data for a relaxed structure of RbLi2Ca, as listed in the Alexandria database.

```
data_RbLi2Ca
_cell_length_a 9.311
_cell_length_b 9.311
_cell_length_c 7.595
_cell_angle_alpha 52.20
_cell_angle_beta 52.20
_cell_angle_gamma 90.00
_symmetry_space_group_name_H-M 'P 1'
_symmetry_Int_Tables_number 1
loop_
_symmetry_equiv_pos_as_xyz
'x,y,z'
loop_
_atom_site_label
_atom_site_type_symbol
_atom_site_fract_x
_atom_site_fract_y
_atom_site_fract_z
Ca1 Ca 0.500 0.500 0.000
Ca2 Ca 0.250 0.750 0.500
Rb1 Rb 0.000 0.000 0.000
Rb2 Rb 0.750 0.250 0.500
Li1 Li 0.614 0.125 0.250
Li2 Li 0.136 0.625 0.250
Li3 Li 0.375 0.386 0.750
Li4 Li 0.875 0.864 0.750
```

Properties
ΔE_f = 0.325 eV/atom
Calculated density = 1410 kg/m3
Distance to the lowest polymorph of the same formula = 0.194 eV/atom

First-principles (PBE) data for a relaxed structure of BeAg2BPd, as listed in the Alexandria database.

```
data_BeAg2BPd
_cell_length_a 5.101
_cell_length_b 4.079
_cell_length_c 5.101
_cell_angle_alpha 90.00
_cell_angle_beta 90.00
_cell_angle_gamma 90.00
_symmetry_space_group_name_H-M 'P 1'
_symmetry_Int_Tables_number 1
loop_
_symmetry_equiv_pos_as_xyz
'x,y,z'
loop_
_atom_site_label
_atom_site_type_symbol
_atom_site_fract_x
_atom_site_fract_y
_atom_site_fract_z
Be1 Be 0.000 0.500 0.000
B1 B 0.500 0.500 0.500
Pd1 Pd 0.000 0.000 0.000
Ag1 Ag 0.000 0.000 0.500
Ag2 Ag 0.500 0.000 0.000
```

Properties
ΔE_f = 1.476 eV/atom
Calculated density = 5351 kg/m3

First-principles (PBE) data for a relaxed structure of TaSnTeAs2, as listed in the Alexandria database.

```
data_TaSnTeAs2
_cell_length_a 5.152
_cell_length_b 5.371
_cell_length_c 5.152
_cell_angle_alpha 90.00
_cell_angle_beta 90.00
_cell_angle_gamma 90.00
_symmetry_space_group_name_H-M 'P 1'
_symmetry_Int_Tables_number 1
loop_
_symmetry_equiv_pos_as_xyz
'x,y,z'
loop_
_atom_site_label
_atom_site_type_symbol
_atom_site_fract_x
_atom_site_fract_y
_atom_site_fract_z
As1 As 0.000 0.000 0.500
As2 As 0.500 0.000 0.000
Te1 Te 0.500 0.500 0.500
Sn1 Sn 0.000 0.000 0.000
Ta1 Ta 0.000 0.500 0.000
```

Properties
Calculated density = 6723 kg/m3
Formation energy from raw total energies = 1.40 eV/atom

First-principles (PBE) data for a relaxed structure of K2YVRu, as listed in the Alexandria database.

```
data_K2YVRu
_cell_length_a 6.198
_cell_length_b 4.981
_cell_length_c 6.198
_cell_angle_alpha 90.00
_cell_angle_beta 90.00
_cell_angle_gamma 90.00
_symmetry_space_group_name_H-M 'P 1'
_symmetry_Int_Tables_number 1
loop_
_symmetry_equiv_pos_as_xyz
'x,y,z'
loop_
_atom_site_label
_atom_site_type_symbol
_atom_site_fract_x
_atom_site_fract_y
_atom_site_fract_z
Y1 Y 0.000 0.500 0.000
Ru1 Ru 0.000 0.000 0.000
K1 K 0.000 0.000 0.500
K2 K 0.500 0.000 0.000
V1 V 0.500 0.500 0.500
```

Properties
ΔE_f = 1.324 eV/atom
Calculated density = 2769 kg/m3

First-principles (PBE) data for a relaxed structure of Li3TmPb2, as listed in the Alexandria database.

```
data_Li3TmPb2
_cell_length_a 4.888
_cell_length_b 6.600
_cell_length_c 8.406
_cell_angle_alpha 90.00
_cell_angle_beta 90.00
_cell_angle_gamma 90.00
_symmetry_space_group_name_H-M 'P 1'
_symmetry_Int_Tables_number 1
loop_
_symmetry_equiv_pos_as_xyz
'x,y,z'
loop_
_atom_site_label
_atom_site_type_symbol
_atom_site_fract_x
_atom_site_fract_y
_atom_site_fract_z
Li1 Li 0.000 0.500 0.998
Li2 Li 0.000 0.000 0.002
Li3 Li 0.500 0.749 0.160
Li4 Li 0.500 0.249 0.840
Li5 Li 0.000 0.252 0.315
Li6 Li 0.000 0.752 0.685
Tm1 Tm 0.500 0.500 0.501
Tm2 Tm 0.500 0.000 0.499
Pb1 Pb 0.500 0.750 0.837
Pb2 Pb 0.500 0.250 0.163
Pb3 Pb 0.000 0.250 0.656
Pb4 Pb 0.000 0.750 0.344
```

Properties
ΔE_f = -0.325 eV/atom
Calculated density = 7398 kg/m3